# 1
! CsLiBr2 | Alexandria | GGA-PBEsol | optimized geometry; values from VASP
! Electronic total energy ... -3.30 eV/atom
! Energy relative to the elements, uncorrected ... -158 kJ per mole of atoms
&SYSTEM
  ibrav = 0, nat = 8, ntyp = 3
/
ATOMIC_SPECIES
Br 79.90 Br.upf
Li 6.94 Li.upf
Cs 132.91 Cs.upf
CELL_PARAMETERS angstrom
-6.6322 1.2778 -1.8460
0.7115 -0.4336 6.9521
4.2745 5.1889 -1.9569
ATOMIC_POSITIONS angstrom
Br -1.6875 3.0837 0.5611
Li 0.0677 4.4222 -0.6526
Cs 0.0000 0.0000 0.0000
Br 2.1548 3.2753 0.1683
Br -5.0474 1.5690 1.7321
Br 1.2879 4.1382 3.8369
Li 2.4930 2.3777 2.4976
Cs -1.7138 1.6109 3.8018


# 2
! Zn2ReSe | Alexandria | GGA-PBEsol | optimized geometry; values from VASP
! Electronic total energy ... -4.23 eV/atom
! Energy relative to the elements, uncorrected ... 82 kJ per mole of atoms
! Polymorph energy (0 for the lowest one) ... 12.296 kcal/mol of atoms
&SYSTEM
  ibrav = 0, nat = 4, ntyp = 3
/
ATOMIC_SPECIES
Re 186.21 Re.upf
Zn 65.41 Zn.upf
Se 78.96 Se.upf
CELL_PARAMETERS angstrom
4.4397 0.0000 0.0000
2.2198 3.8449 0.0000
2.2198 1.2816 3.6250
ATOMIC_POSITIONS angstrom
Re 0.0000 0.0000 0.0000
Zn 6.6595 3.8449 2.7187
Zn 2.2198 1.2816 0.9062
Se 4.4397 2.5632 1.8125


# 3
! LaTi6Bi7O24 | Alexandria | GGA-PBEsol | optimized geometry; values from VASP
! Electronic total energy ... -7.87 eV/atom
! Energy relative to the elements, uncorrected ... -223 kJ per mole of atoms
&SYSTEM
  ibrav = 0, nat = 38, ntyp = 4
/
ATOMIC_SPECIES
Ti 47.87 Ti.upf
O 16.00 O.upf
Bi 208.98 Bi.upf
La 138.91 La.upf
CELL_PARAMETERS angstrom
5.4005 0.0352 0.0084
-0.0283 5.4128 -0.0010
-0.0049 -2.7024 16.4953
ATOMIC_POSITIONS angstrom
Ti 2.6096 0.3730 12.4688
O 4.9376 3.2509 6.3514
O 1.1341 1.6487 4.6120
Bi 2.6993 2.7195 15.1852
O 1.4988 2.0544 8.0682
O 4.0874 1.6563 11.8957
Ti 2.6000 0.3396 4.0101
O 3.7491 -1.0976 8.5584
O 2.9322 0.3783 14.2189
O 1.0662 -0.7559 12.2972
O 1.0131 -0.6761 8.0210
O 0.2047 3.0470 2.2716
O 3.9757 4.1757 0.0167
O 3.8531 -1.0353 11.8894
Bi 5.2842 0.1232 6.0459
O 2.9506 0.5564 6.3528
La 2.6233 2.9530 10.3357
O 0.2154 3.2439 10.1826
O 2.2350 0.4621 10.1929
O 1.2718 1.4568 16.4468
O 1.3389 4.3596 4.6117
O 2.3015 0.3492 2.2765
Ti 2.5791 0.3163 8.2825
O 1.4504 1.9493 12.3536
Bi 2.4933 2.7339 1.2457
Ti 5.3028 3.0469 12.4772
Ti 5.2943 3.0295 8.2753
Bi 0.0233 0.0078 1.2418
O 3.7261 1.9850 4.1831
O 4.1141 1.6436 8.6031
O 4.9886 -2.2921 14.2246
O 1.2256 -1.2508 16.4481
O 4.1443 4.6880 4.1956
Bi 5.3309 0.1521 10.4746
Bi 2.6162 2.8189 6.0417
Ti 5.2947 3.0602 4.0116
Bi 5.1813 0.0216 15.1820
O 3.9298 1.4694 0.0175


# 4
! Re2TcSe | Alexandria | GGA-PBEsol | optimized geometry; values from VASP
! Electronic total energy ... -10.00 eV/atom
! Energy relative to the elements, uncorrected ... 43 kJ per mole of atoms
&SYSTEM
  ibrav = 0, nat = 4, ntyp = 3
/
ATOMIC_SPECIES
Re 186.21 Re.upf
Se 78.96 Se.upf
Tc 98.00 Tc.upf
CELL_PARAMETERS angstrom
-1.0426 -2.2803 1.5753
1.3783 -2.8041 -3.1466
3.9459 -0.3776 2.0649
ATOMIC_POSITIONS angstrom
Re 0.1678 -2.5422 -0.7856
Se 1.4516 -1.3290 1.8201
Tc 2.6621 -1.5909 -0.5408
Re 0.0000 0.0000 0.0000


# 5
! Tb5Ti5O17 | Alexandria | GGA-PBEsol | optimized geometry; values from VASP
! Electronic total energy ... -9.10 eV/atom
! Energy relative to the elements, uncorrected ... -321 kJ per mole of atoms
&SYSTEM
  ibrav = 0, nat = 54, ntyp = 3
/
ATOMIC_SPECIES
Ti 47.87 Ti.upf
O 16.00 O.upf
Tb 158.93 Tb.upf
CELL_PARAMETERS angstrom
-1.9432 2.8341 1.6784
-2.3405 -3.5578 3.2981
23.0337 3.7296 20.3693
ATOMIC_POSITIONS angstrom
Ti 2.9516 -1.9563 6.7207
O 18.7250 2.7965 21.3134
O -0.2821 -3.0400 4.8068
Tb -0.0190 -0.5064 0.8330
Ti 2.2246 -0.3316 3.1355
O 16.4923 4.0197 16.6630
Tb 7.6282 2.2330 9.4177
O 8.5042 0.0079 9.8323
O 11.8536 1.7239 10.8125
O 20.4291 0.8321 22.2464
O 15.8863 1.7669 15.4085
Tb 12.4251 0.9240 12.8247
O 3.9096 0.3930 3.8627
O 19.5440 2.3943 18.5838
Ti 6.2365 0.2469 6.8033
O 0.5636 -1.3006 2.8487
Tb -0.8020 -0.6465 4.5202
O 12.6810 -0.2379 15.0830
O 14.7858 2.1826 17.7895
Ti 10.1876 0.7535 10.5222
O 10.8180 1.5390 14.2825
O 1.2259 0.8852 4.2815
O 5.8492 0.1128 10.9383
Tb 4.1153 -0.0330 9.1771
Tb 2.8364 1.0160 5.9251
Tb 17.6114 1.9465 17.1026
Ti 15.5647 1.6786 19.5422
Tb 8.9269 0.3442 14.1106
O 16.4326 1.2904 21.2025
O 3.9380 -2.3162 8.4702
O 2.2432 -0.4359 7.6901
O 7.6634 -1.7997 11.9111
O 20.3454 4.7303 19.9241
Tb 14.4829 0.1838 16.4570
O 17.0317 2.9591 19.0784
O 5.1807 1.5625 7.7163
O 6.1677 -0.8073 8.5037
O 16.5813 0.3566 18.5946
Ti 14.7409 3.2166 15.9916
O 7.8829 1.0422 7.3665
O 12.4679 0.6543 17.6865
O 10.3624 -0.0939 12.1556
Ti 7.1055 -1.1903 10.2363
Ti 11.4482 0.9410 16.0219
O 9.2457 2.3683 11.0620
Tb 18.6251 0.4134 20.8650
O 2.4046 -1.3460 5.0567
O 12.3320 3.3866 12.9154
O -2.6875 -1.8442 4.3596
O 13.1647 2.2624 15.7778
Ti 18.7572 3.7734 19.7011
O 4.5298 -0.6595 6.3580
Ti 19.7118 2.4832 22.9849
O -1.8575 -0.1335 2.4318


# 6
! Mn2FeOs | Alexandria | GGA-PBEsol | optimized geometry; values from VASP
! Energy of formation from the pure elements ... 0.03 eV/atom
! Electronic total energy ... -10.14 eV/atom
&SYSTEM
  ibrav = 0, nat = 4, ntyp = 3
/
ATOMIC_SPECIES
Os 190.23 Os.upf
Mn 54.94 Mn.upf
Fe 55.84 Fe.upf
CELL_PARAMETERS angstrom
3.5813 0.0000 0.0000
0.0000 3.5813 0.0000
-1.7907 -1.7907 3.5757
ATOMIC_POSITIONS angstrom
Os 1.7907 1.7907 0.0000
Mn 1.7907 0.0000 1.7878
Fe 0.0000 1.7907 1.7878
Mn 0.0000 0.0000 0.0000


# 7
! MgTl2Cd | Alexandria | GGA-PBEsol | optimized geometry; values from VASP
! Energy of formation from the pure elements ... -0.01 eV/atom
! Electronic total energy ... -2.05 eV/atom
! Polymorph energy (0 for the lowest one) ... 0.218 kcal/mol of atoms
&SYSTEM
  ibrav = 0, nat = 4, ntyp = 3
/
ATOMIC_SPECIES
Cd 112.41 Cd.upf
Mg 24.30 Mg.upf
Tl 204.38 Tl.upf
CELL_PARAMETERS angstrom
4.7872 0.0000 0.0000
0.0000 4.3012 0.0000
0.0000 0.0000 4.7179
ATOMIC_POSITIONS angstrom
Cd 2.3936 2.1506 0.0000
Mg 0.0000 2.1506 2.3590
Tl 0.0000 0.0000 0.0000
Tl 2.3936 0.0000 2.3590


# 8
! SiIr3Pb | Alexandria | GGA-PBEsol | optimized geometry; values from VASP
! Electronic total energy ... -7.18 eV/atom
! Energy relative to the elements, uncorrected ... 64 kJ per mole of atoms
! Polymorph energy (0 for the lowest one) ... 0.000 kcal/mol of atoms
&SYSTEM
  ibrav = 0, nat = 5, ntyp = 3
/
ATOMIC_SPECIES
Ir 192.22 Ir.upf
Pb 207.20 Pb.upf
Si 28.09 Si.upf
CELL_PARAMETERS angstrom
-1.6731 -0.0320 -4.1655
4.1575 -0.2934 -1.6676
-0.2604 -4.4794 0.1389
ATOMIC_POSITIONS angstrom
Ir 2.0788 -0.1467 -0.8338
Pb 1.1120 -2.4023 -2.8471
Ir -0.1302 -2.2397 0.0695
Si 0.0000 0.0000 0.0000
Ir -0.8365 -0.0160 -2.0828